Computed, not measured: a relaxed KNaCoF4 crystal at the GGA+U level of DFT.

DFT total energy = -4.57 eV/atom
crystal system = monoclinic

```
data_KNaCoF4
_chemical_formula_sum 'K2 Na2 Co2 F8'
_cell_length_a 5.8094
_cell_length_b 5.9349
_cell_length_c 6.9786
_cell_angle_alpha 90.00
_cell_angle_beta 103.75
_cell_angle_gamma 90.00
_space_group_name_H-M_alt 'P 1 21/m 1'
_space_group_IT_number 11
_space_group_name_Hall '-P 2yb'
loop_
_atom_site_label
_atom_site_fract_x
_atom_site_fract_y
_atom_site_fract_z
K1 0.1148 0.2500 0.1015
Na1 0.1719 0.7500 0.4760
Co1 0.3787 0.2500 0.6916
F1 0.1496 0.0180 0.7173
F2 0.2949 0.7500 0.1675
F3 0.4237 0.2500 0.4260
```